This record from Alexandria describes an optimized crystal structure of AlW2Se. The functional is PBE.

Properties
Polymorph energy (0 for the lowest one), meV per atom: 560
E_form (uncorrected), meV per atom: 682

The structure in POSCAR format:
```
AlW2Se
1.0
4.4630 0.0000 0.0000
0.0000 3.8521 0.0000
0.0000 0.0000 3.8521
Al W Se
1 2 1
Direct
0.5000 0.5000 0.0000
0.0000 0.5000 0.5000
0.0000 0.0000 0.0000
0.5000 0.0000 0.5000
```

***

This record from Alexandria describes an optimized crystal structure of TcNiCl2. The functional is PBE.

Properties
Polymorph energy (0 for the lowest one), meV per atom: 163
E_form (uncorrected), meV per atom: 109

The structure in POSCAR format:
```
TcNiCl2
1.0
6.6649 2.0229 -0.3291
3.4730 6.0375 0.3291
-4.3321 -4.9570 2.2984
Tc Cl Ni
1 2 1
Direct
0.2500 0.7500 0.5000
0.1035 0.1035 0.0000
0.3965 0.3965 0.0000
0.7500 0.2500 0.5000
```

***

This record from Alexandria describes an optimized crystal structure of LaTh2In. The functional is PBE.

Properties
Formation energy, meV per atom: -61
Polymorph energy (0 for the lowest one), meV per atom: 115

The structure in POSCAR format:
```
LaTh2In
1.0
4.1940 0.0000 0.0000
0.0000 4.1940 0.0000
0.0000 0.0000 7.1333
Th In La
2 1 1
Direct
0.0000 0.0000 0.7753
0.0000 0.0000 0.2247
0.5000 0.5000 0.0000
0.5000 0.5000 0.5000
```

***

This record from Alexandria describes an optimized crystal structure of AsRh2Cl. The functional is PBE.

Properties
Polymorph energy (0 for the lowest one), meV per atom: 174
E_form (uncorrected), meV per atom: -29

The structure in POSCAR format:
```
AsRh2Cl
1.0
3.0661 0.0000 0.0000
0.0000 3.0661 0.0000
0.0000 0.0000 6.7901
As Cl Rh
1 1 2
Direct
0.5000 0.5000 0.2500
0.5000 0.5000 0.7500
0.0000 0.0000 0.0449
0.0000 0.0000 0.4551
```

***

This record from Alexandria describes an optimized crystal structure of KSi2Mo. The functional is PBE.

Properties
Polymorph energy (0 for the lowest one), meV per atom: 1079
E_form (uncorrected), meV per atom: 1157

The structure in POSCAR format:
```
KSi2Mo
1.0
-2.1433 -1.6723 0.6818
2.7242 -1.5563 4.7463
-2.0739 3.6282 2.3800
Si Mo K
2 1 1
Direct
0.5000 0.5000 0.0000
0.0000 0.0000 0.0000
0.0000 0.5000 0.5000
0.5000 0.0000 0.5000
```

***

This record from Alexandria describes an optimized crystal structure of SiRuCl2. The functional is PBE.

Properties
Polymorph energy (0 for the lowest one), meV per atom: 1013
E_form (uncorrected), meV per atom: 714

The structure in POSCAR format:
```
SiRuCl2
1.0
-1.6730 1.8419 3.8775
0.8312 4.4208 0.9957
-3.4131 3.0880 -0.2024
Cl Si Ru
2 1 1
Direct
0.2500 0.2500 0.2500
0.7500 0.7500 0.7500
0.0000 0.0000 0.0000
0.5000 0.5000 0.5000
```

***

This record from Alexandria describes an optimized crystal structure of DyScTe2O. The functional is PBE.

Properties
E_form (uncorrected), meV per atom: -2017

The structure in POSCAR format:
```
DyScTe2O
1.0
4.0446 0.0000 0.0000
0.0000 4.0446 0.0000
0.0000 0.0000 15.0836
Te Dy Sc O
4 2 2 2
Direct
0.0000 0.5000 0.0867
0.5000 0.0000 0.9133
0.5000 0.0000 0.3037
0.0000 0.5000 0.6963
0.5000 0.0000 0.5699
0.0000 0.5000 0.4301
0.5000 0.0000 0.1229
0.0000 0.5000 0.8771
0.5000 0.5000 0.5000
0.0000 0.0000 0.5000
```

***

This record from Alexandria describes an optimized crystal structure of CsNpI2Br6. The functional is PBE.

Properties
E_form (uncorrected), meV per atom: -906

The structure in POSCAR format:
```
CsNpI2Br6
1.0
7.3992 -0.4716 -0.1641
-4.3213 8.7477 1.0621
-3.6112 -1.8227 7.1416
Cs Br I Np
1 6 2 1
Direct
0.9977 0.4987 0.4776
0.4572 0.1062 0.2187
0.9622 0.7254 0.8371
0.1100 0.1477 0.6985
0.8833 0.8481 0.2626
0.0302 0.2693 0.1240
0.5358 0.8892 0.7416
0.4487 0.5632 0.1890
0.5441 0.4323 0.7729
0.9964 0.9976 0.9805
```

***

This record from Alexandria describes an optimized crystal structure of PaSbTe2N. The functional is PBE.

Properties
E_form (uncorrected), meV per atom: -873

The structure in POSCAR format:
```
PaSbTe2N
1.0
-3.6904 -0.2264 1.2486
0.8056 -3.3848 1.7673
5.1280 10.0891 16.9854
Te Sb Pa N
4 2 2 2
Direct
0.0000 0.5000 0.6439
0.5000 0.0000 0.3561
0.0000 0.5000 0.0933
0.5000 0.0000 0.9067
0.5000 0.0000 0.1552
0.0000 0.5000 0.8448
0.5000 0.0000 0.5587
0.0000 0.5000 0.4413
0.0000 0.0000 0.5000
0.5000 0.5000 0.5000
```

***

This record from Alexandria describes an optimized crystal structure of SrPuAgPb. The functional is PBE.

Properties
Formation energy, meV per atom: -152

The structure in POSCAR format:
```
SrPuAgPb
1.0
5.5183 0.0000 0.0000
2.7591 4.7789 0.0000
2.7591 1.5930 4.5056
Sr Pb Ag Pu
1 1 1 1
Direct
0.0000 0.0000 0.0000
0.7500 0.7500 0.7500
0.2500 0.2500 0.2500
0.5000 0.5000 0.5000
```

***

This record from Alexandria describes an optimized crystal structure of SrTcCl. The functional is PBE.

Properties
Polymorph energy (0 for the lowest one), meV per atom: 0
E_form (uncorrected), meV per atom: 228

The structure in POSCAR format:
```
SrTcCl
1.0
7.0019 0.0387 -0.0403
6.1641 3.3224 0.0002
0.8378 0.1747 3.2793
Sr Cl Tc
1 1 1
Direct
0.3462 0.3462 0.6538
0.9848 0.9848 0.0152
0.6690 0.6690 0.3310
```

***

This record from Alexandria describes an optimized crystal structure of TaCrTc3. The functional is PBE.

Properties
Formation energy, meV per atom: 2119
Polymorph energy (0 for the lowest one), meV per atom: 1172

The structure in POSCAR format:
```
TaCrTc3
1.0
4.6537 0.0000 0.0000
0.0000 4.6537 0.0000
0.0000 0.0000 4.6537
Cr Tc Ta
1 3 1
Direct
0.5000 0.5000 0.5000
0.5000 0.0000 0.0000
0.0000 0.5000 0.0000
0.0000 0.0000 0.5000
0.0000 0.0000 0.0000
```

***

Values for magnetic moment, μB per cell, ordered as above
0.00 1.77 0.00 0.00 0.00 2.04 0.00 4.05 0.00 5.43 2.85 0.14
Values for E_tot, eV per cell, ordered as above
-30.41 -19.40 -22.75 -21.32 -18.15 -15.54 -64.52 -35.99 -65.18 -23.18 -13.21 -41.98
Values for ρ, g/cm³, ordered as above
11.88 4.64 9.50 8.22 4.14 4.80 6.44 4.01 6.65 9.04 4.86 8.68